Arrangement A

First-principles (PBE-GGA) data for a relaxed structure of NaCdHgPd, as listed in Alexandria.

Properties
The space group is Cm, No. 8.

Lattice parameters (Å, degrees): 4.659 4.659 5.756 114.18 114.18 60.17
Sites, in units of the cell vectors:
1 Na 0.000 0.000 0.000
2 Cd 0.442 0.442 0.325
3 Hg 0.219 0.219 0.651
4 Pd 0.809 0.809 0.424

Arrangement B

First-principles (PBE-GGA) data for a relaxed structure of NaCdHgPd, as listed in Alexandria.

Properties
The space group is F-43m, No. 216.

Lattice parameters (Å, degrees): 4.831 4.831 4.831 60.00 60.00 60.00
Sites, in units of the cell vectors:
1 Na 0.000 0.000 0.000
2 Cd 0.250 0.250 0.250
3 Hg 0.750 0.750 0.750
4 Pd 0.500 0.500 0.500

Tell me which of them is the least stable. Sure, it is arrangement A.

Arrangement A

First-principles (PBE-GGA) data for a relaxed structure of NaCd2HgPt, as listed in Alexandria.

Properties
The space group is P4/mmm, No. 123.

Lattice parameters (Å, degrees): 5.244 5.244 5.483 90.00 90.00 90.00
Sites, in units of the cell vectors:
1 Na 0.000 0.000 0.000
2 Cd 0.000 0.500 0.500
3 Cd 0.500 0.000 0.500
4 Hg 0.500 0.500 0.000
5 Pt 0.000 0.000 0.500

Arrangement B

First-principles (PBE-GGA) data for a relaxed structure of NaCd2HgPt, as listed in Alexandria.

Properties
The space group is P4/mmm, No. 123.

Lattice parameters (Å, degrees): 5.251 5.251 5.331 90.00 90.00 90.00
Sites, in units of the cell vectors:
1 Na 0.000 0.000 0.000
2 Cd 0.000 0.500 0.500
3 Cd 0.500 0.000 0.500
4 Hg 0.500 0.500 0.000
5 Pt 0.500 0.500 0.500

Tell me which of them is the least stable. Sure, it is arrangement A.

Arrangement A

First-principles (PBE-GGA) data for a relaxed structure of RbNaCdHg2, as listed in Alexandria.

Properties
The space group is I-4m2, No. 119.

Lattice parameters (Å, degrees): 7.894 7.894 7.894 144.25 144.25 51.45
Sites, in units of the cell vectors:
1 Rb 0.000 0.000 0.000
2 Na 0.250 0.750 0.500
3 Cd 0.750 0.250 0.500
4 Hg 0.390 0.390 0.000
5 Hg 0.610 0.610 0.000

Arrangement B

First-principles (PBE-GGA) data for a relaxed structure of RbNaCdHg2, as listed in Alexandria.

Properties
The space group is P4/mmm, No. 123.

Lattice parameters (Å, degrees): 5.801 5.801 5.785 90.00 90.00 90.00
Sites, in units of the cell vectors:
1 Rb 0.000 0.000 0.000
2 Na 0.500 0.500 0.000
3 Cd 0.500 0.500 0.500
4 Hg 0.000 0.500 0.500
5 Hg 0.500 0.000 0.500

Arrangement C

First-principles (PBE-GGA) data for a relaxed structure of RbNaCdHg2, as listed in Alexandria.

Properties
The space group is P4/mmm, No. 123.

Lattice parameters (Å, degrees): 5.848 5.848 5.868 90.00 90.00 90.00
Sites, in units of the cell vectors:
1 Rb 0.000 0.000 0.000
2 Na 0.500 0.500 0.500
3 Cd 0.500 0.500 0.000
4 Hg 0.000 0.500 0.500
5 Hg 0.500 0.000 0.500

Tell me which of them is the least stable. Sure, it is arrangement C.

Arrangement A

First-principles (PBE-GGA) data for a relaxed structure of RbNaCd2Hg, as listed in Alexandria.

Properties
The space group is Imm2, No. 44.

Lattice parameters (Å, degrees): 7.692 7.692 7.692 143.44 141.92 53.81
Sites, in units of the cell vectors:
1 Rb 0.000 0.000 0.000
2 Na 0.256 0.756 0.500
3 Cd 0.617 0.617 0.000
4 Cd 0.755 0.255 0.500
5 Hg 0.398 0.398 0.000

Arrangement B

First-principles (PBE-GGA) data for a relaxed structure of RbNaCd2Hg, as listed in Alexandria.

Properties
The space group is P4/mmm, No. 123.

Lattice parameters (Å, degrees): 6.665 6.665 6.551 90.00 90.00 90.00
Sites, in units of the cell vectors:
1 Rb 0.000 0.000 0.000
2 Na 0.500 0.500 0.500
3 Cd 0.000 0.500 0.000
4 Cd 0.500 0.000 0.000
5 Hg 0.000 0.000 0.500

Tell me which of them is the least stable. Sure, it is arrangement B.

Arrangement A

First-principles (PBE-GGA) data for a relaxed structure of NaCd2HgRh, as listed in Alexandria.

Properties
The space group is P4/mmm, No. 123.

Lattice parameters (Å, degrees): 5.196 5.196 5.277 90.00 90.00 90.00
Sites, in units of the cell vectors:
1 Na 0.000 0.000 0.000
2 Cd 0.000 0.500 0.500
3 Cd 0.500 0.000 0.500
4 Hg 0.500 0.500 0.000
5 Rh 0.500 0.500 0.500

Arrangement B

First-principles (PBE-GGA) data for a relaxed structure of NaCd2HgRh, as listed in Alexandria.

Properties
The space group is P4/mmm, No. 123.

Lattice parameters (Å, degrees): 5.140 5.140 5.092 90.00 90.00 90.00
Sites, in units of the cell vectors:
1 Na 0.000 0.000 0.000
2 Cd 0.000 0.500 0.000
3 Cd 0.500 0.000 0.000
4 Hg 0.000 0.000 0.500
5 Rh 0.500 0.500 0.500

Tell me which of them is the least stable. Sure, it is arrangement B.

Arrangement A

First-principles (PBE-GGA) data for a relaxed structure of NbCd3Hg, as listed in Alexandria.

Properties
The space group is Pm-3m, No. 221.

Lattice parameters (Å, degrees): 5.703 5.703 5.703 90.00 90.00 90.00
Sites, in units of the cell vectors:
1 Nb 0.000 0.000 0.000
2 Cd 0.000 0.000 0.500
3 Cd 0.000 0.500 0.000
4 Cd 0.500 0.000 0.000
5 Hg 0.500 0.500 0.500

Arrangement B

First-principles (PBE-GGA) data for a relaxed structure of NbCd3Hg, as listed in Alexandria.

Properties
The space group is Pm-3m, No. 221.

Lattice parameters (Å, degrees): 5.267 5.267 5.267 90.00 90.00 90.00
Sites, in units of the cell vectors:
1 Nb 0.000 0.000 0.000
2 Cd 0.000 0.500 0.500
3 Cd 0.500 0.000 0.500
4 Cd 0.500 0.500 0.000
5 Hg 0.500 0.500 0.500

Tell me which of them is the least stable. Sure, it is arrangement B.

Arrangement A

First-principles (PBE-GGA) data for a relaxed structure of Nb2CdHg, as listed in Alexandria.

Properties
The space group is I-42d, No. 122.

Lattice parameters (Å, degrees): 6.158 6.158 6.158 101.78 101.78 126.28
Sites, in units of the cell vectors:
1 Nb 0.122 0.625 0.997
2 Nb 0.375 0.372 0.497
3 Nb 0.628 0.125 0.003
4 Nb 0.875 0.878 0.503
5 Cd 0.250 0.750 0.500
6 Cd 0.500 0.500 0.000
7 Hg 0.000 0.000 0.000
8 Hg 0.750 0.250 0.500

Arrangement B

First-principles (PBE-GGA) data for a relaxed structure of Nb2CdHg, as listed in Alexandria.

Properties
The space group is Fm-3m, No. 225.

Lattice parameters (Å, degrees): 4.788 4.788 4.788 60.00 60.00 60.00
Sites, in units of the cell vectors:
1 Nb 0.250 0.250 0.250
2 Nb 0.750 0.750 0.750
3 Cd 0.000 0.000 0.000
4 Hg 0.500 0.500 0.500

Tell me which of them is the least stable. Sure, it is arrangement A.

Arrangement A

First-principles (PBE-GGA) data for a relaxed structure of Nd8CdHg2, as listed in Alexandria.

Properties
The space group is C2/m, No. 12.

Lattice parameters (Å, degrees): 8.782 8.782 8.806 119.66 119.66 36.80
Sites, in units of the cell vectors:
1 Nd 0.070 0.070 0.223
2 Nd 0.138 0.138 0.692
3 Nd 0.319 0.319 0.550
4 Nd 0.407 0.407 0.050
5 Nd 0.593 0.593 0.950
6 Nd 0.681 0.681 0.450
7 Nd 0.862 0.862 0.308
8 Nd 0.930 0.930 0.777
9 Cd 0.500 0.500 0.500
10 Hg 0.229 0.229 0.123
11 Hg 0.771 0.771 0.877

Arrangement B

First-principles (PBE-GGA) data for a relaxed structure of Nd8CdHg2, as listed in Alexandria.

Properties
The space group is C2/m, No. 12.

Lattice parameters (Å, degrees): 9.658 9.658 7.524 107.14 107.14 31.76
Sites, in units of the cell vectors:
1 Nd 0.027 0.027 0.260
2 Nd 0.192 0.192 0.798
3 Nd 0.332 0.332 0.540
4 Nd 0.411 0.411 0.040
5 Nd 0.589 0.589 0.960
6 Nd 0.668 0.668 0.460
7 Nd 0.808 0.808 0.202
8 Nd 0.973 0.973 0.740
9 Cd 0.500 0.500 0.500
10 Hg 0.187 0.187 0.203
11 Hg 0.813 0.813 0.797

Tell me which of them is the least stable. Sure, it is arrangement B.

Arrangement A

First-principles (PBE-GGA) data for a relaxed structure of NdCd2Hg, as listed in Alexandria.

Properties
The space group is R-3m, No. 166.

Lattice parameters (Å, degrees): 11.559 11.559 11.559 16.80 16.80 16.80
Sites, in units of the cell vectors:
1 Nd 0.000 0.000 0.000
2 Cd 0.094 0.094 0.094
3 Cd 0.906 0.906 0.906
4 Hg 0.500 0.500 0.500

Arrangement B

First-principles (PBE-GGA) data for a relaxed structure of NdCd2Hg, as listed in Alexandria.

Properties
The space group is Cm, No. 8.

Lattice parameters (Å, degrees): 5.170 5.170 5.184 119.86 119.86 60.21
Sites, in units of the cell vectors:
1 Nd 0.000 0.000 0.000
2 Cd 0.250 0.250 0.749
3 Cd 0.500 0.500 0.500
4 Hg 0.750 0.750 0.251

Arrangement C

First-principles (PBE-GGA) data for a relaxed structure of NdCd2Hg, as listed in Alexandria.

Properties
The space group is Fm-3m, No. 225.

Lattice parameters (Å, degrees): 5.177 5.177 5.177 60.00 60.00 60.00
Sites, in units of the cell vectors:
1 Nd 0.000 0.000 0.000
2 Cd 0.250 0.250 0.250
3 Cd 0.750 0.750 0.750
4 Hg 0.500 0.500 0.500

Arrangement D

First-principles (PBE-GGA) data for a relaxed structure of NdCd2Hg, as listed in Alexandria.

Properties
The space group is P4/mmm, No. 123.

Lattice parameters (Å, degrees): 3.739 3.739 7.348 90.00 90.00 90.00
Sites, in units of the cell vectors:
1 Nd 0.000 0.000 0.000
2 Cd 0.500 0.500 0.276
3 Cd 0.500 0.500 0.724
4 Hg 0.000 0.000 0.500

Tell me which of them is the least stable. Sure, it is arrangement A.

Arrangement A

First-principles (PBE-GGA) data for a relaxed structure of NdCd2Hg5, as listed in Alexandria.

Properties
The space group is Pbam, No. 55.

Lattice parameters (Å, degrees): 10.098 10.763 7.389 90.00 90.00 90.00
Sites, in units of the cell vectors:
1 Nd 0.003 0.240 0.000
2 Nd 0.497 0.740 0.000
3 Nd 0.503 0.260 0.000
4 Nd 0.997 0.760 0.000
5 Cd 0.000 0.500 0.266
6 Cd 0.000 0.500 0.734
7 Cd 0.005 0.246 0.500
8 Cd 0.495 0.746 0.500
9 Cd 0.500 0.000 0.266
10 Cd 0.500 0.000 0.734
11 Cd 0.505 0.254 0.500
12 Cd 0.995 0.754 0.500
13 Hg 0.000 0.000 0.264
14 Hg 0.000 0.000 0.736
15 Hg 0.241 0.443 0.000
16 Hg 0.243 0.685 0.259
17 Hg 0.243 0.685 0.741
18 Hg 0.246 0.432 0.500
19 Hg 0.254 0.932 0.500
20 Hg 0.257 0.185 0.259
21 Hg 0.257 0.185 0.741
22 Hg 0.259 0.943 0.000
23 Hg 0.500 0.500 0.264
24 Hg 0.500 0.500 0.736
25 Hg 0.741 0.057 0.000
26 Hg 0.743 0.815 0.259
27 Hg 0.743 0.815 0.741
28 Hg 0.746 0.068 0.500
29 Hg 0.754 0.568 0.500
30 Hg 0.757 0.315 0.259
31 Hg 0.757 0.315 0.741
32 Hg 0.759 0.557 0.000

Arrangement B

First-principles (PBE-GGA) data for a relaxed structure of NdCd2Hg5, as listed in Alexandria.

Properties
The space group is I4/mcm, No. 140.

Lattice parameters (Å, degrees): 8.602 8.602 8.602 125.15 125.15 81.29
Sites, in units of the cell vectors:
1 Nd 0.250 0.250 0.000
2 Nd 0.750 0.750 0.000
3 Cd 0.147 0.647 0.795
4 Cd 0.353 0.147 0.500
5 Cd 0.647 0.853 0.500
6 Cd 0.853 0.353 0.205
7 Hg 0.000 0.000 0.000
8 Hg 0.009 0.804 0.500
9 Hg 0.196 0.696 0.205
10 Hg 0.304 0.509 0.500
11 Hg 0.491 0.991 0.795
12 Hg 0.500 0.500 0.000
13 Hg 0.509 0.009 0.205
14 Hg 0.696 0.491 0.500
15 Hg 0.804 0.304 0.795
16 Hg 0.991 0.196 0.500

Tell me which of them is the least stable. Sure, it is arrangement B.

Arrangement A

First-principles (PBE-GGA) data for a relaxed structure of Nd2CdHg4, as listed in Alexandria.

Properties
The space group is I4/mmm, No. 139.

Lattice parameters (Å, degrees): 8.754 8.754 8.754 144.44 144.44 51.17
Sites, in units of the cell vectors:
1 Nd 0.118 0.118 0.000
2 Nd 0.882 0.882 0.000
3 Cd 0.500 0.500 0.000
4 Hg 0.000 0.500 0.500
5 Hg 0.313 0.313 0.000
6 Hg 0.500 0.000 0.500
7 Hg 0.687 0.687 0.000

Arrangement B

First-principles (PBE-GGA) data for a relaxed structure of Nd2CdHg4, as listed in Alexandria.

Properties
The space group is R-3m, No. 166.

Lattice parameters (Å, degrees): 9.035 9.035 9.035 32.95 32.95 32.95
Sites, in units of the cell vectors:
1 Nd 0.248 0.248 0.248
2 Nd 0.752 0.752 0.752
3 Cd 0.500 0.500 0.500
4 Hg 0.122 0.122 0.122
5 Hg 0.371 0.371 0.371
6 Hg 0.629 0.629 0.629
7 Hg 0.878 0.878 0.878

Tell me which of them is the least stable. Sure, it is arrangement A.